# TbHoPdAu PBE-GGA relaxed
# E ... -5.3276 eV per atom
# Formation energy from the elements ... -0.9080 eV per atom
# Offset from the most stable computed form ... 0.0 meV per atom
data_TbHoPdAu
_chemical_formula_sum 'Tb2 Ho2 Pd2 Au2'
_symmetry_space_group_name_H-M 'A m m 2'
_symmetry_Int_Tables_number 38
_cell_length_a 4.6672
_cell_length_b 3.7469
_cell_length_c 10.6474
_cell_angle_alpha 90.00
_cell_angle_beta 90.00
_cell_angle_gamma 90.00
loop_
_symmetry_equiv_pos_as_xyz
'x,y,z'
'-x,-y,z'
'-x,y,z'
'x,-y,z'
'x,y+1/2,z+1/2'
'-x,-y+1/2,z+1/2'
'-x,y+1/2,z+1/2'
'x,-y+1/2,z+1/2'
loop_
_atom_site_label
_atom_site_fract_x
_atom_site_fract_y
_atom_site_fract_z
Tb1 0.0000 0.0000 0.0000
Ho1 0.5000 0.0000 0.7236
Pd1 0.0000 0.0000 0.2732
Au1 0.5000 0.0000 0.4459